(1)
Density functional theory data (PBE-GGA) for a relaxed ZrCo2Te crystal.

Lattice parameters (Å, degrees): 3.4456 4.0931 5.1317 90.00 90.00 90.00
Closest atoms and distances in Å follow each position.
Atoms (fractional coordinates):
1 Zr 0.0000 0.0000 0.0000  6 Co 2.65-2.80
2 Co 0.5000 0.0000 0.6084  2 Co 2.37, 2 Te 2.51, 2 Zr 2.65
3 Co 0.5000 0.5000 0.8400  2 Co 2.37, 2 Te 2.49-2.64
4 Te 0.5000 0.5000 0.3257  4 Co 2.49-2.64

Calculated values
SG: No. 25
Density of states at the Fermi level, states/eV per atom: 1.197
Formation energy (no corrections), eV/atom: -0.037
VASP energy, eV per atom: -6.512

=====

(2)
Density functional theory data (PBE-GGA) for a relaxed AcCePt10 crystal.

Lattice parameters (Å, degrees): 4.4434 5.4707 9.4563 90.00 90.00 90.00
Closest atoms and distances in Å follow each position.
Atoms (fractional coordinates):
1 Ac 0.0000 0.0000 0.0000  18 Pt 3.20-3.55
2 Ce 0.0000 0.5000 0.5000  6 Pt 3.08-3.13
3 Pt 0.0000 0.0000 0.3388  6 Pt 2.69-2.73
4 Pt 0.0000 0.0000 0.6612  6 Pt 2.69-2.73
5 Pt 0.0000 0.5000 0.1748  6 Pt 2.71-2.77
6 Pt 0.0000 0.5000 0.8252  6 Pt 2.71-2.77
7 Pt 0.5000 0.0000 0.5000  8 Pt 2.69-2.71
8 Pt 0.5000 0.2517 0.2537  8 Pt 2.71-2.76
9 Pt 0.5000 0.2517 0.7463  8 Pt 2.71-2.76
10 Pt 0.5000 0.5000 0.0000  8 Pt 2.76-2.77
11 Pt 0.5000 0.7483 0.2537  8 Pt 2.71-2.76
12 Pt 0.5000 0.7483 0.7463  8 Pt 2.71-2.76

Calculated values
SG: No. 47
Density of states at the Fermi level, states/eV per atom: 1.129
VASP energy, eV per atom: -6.618
Formation enthalpy at 0 K, eV per atom: -0.747